(1)
Below is a geometry-optimized Mg2MnCd structure, with properties calculated at the PBE level.

Lattice parameters (Å, degrees): 3.1312 3.1312 8.0463 90.00 90.00 90.04
Site moments in Bohr magnetons follow the coordinates.
Atoms (fractional coordinates):
1 Mn 0.0000 0.0000 0.5013  3.47
2 Mg 0.0000 0.0000 0.9927  -0.01
3 Mg 0.5000 0.5000 0.2784  -0.04
4 Cd 0.5000 0.5000 0.7276  -0.04

Summary:
size of the total moment = 3.4 Bohr magnetons per cell
ΔH_f (0 K) = 0.141 eV per atom
symmetry = P4mm
total DFT energy (no corrections) = -12.7 eV per cell

=====

(2)
Below is a geometry-optimized MgMnCd structure, with properties calculated at the PBE level.

Lattice parameters (Å, degrees): 6.5414 6.5409 3.0172 76.67 76.66 26.67
Site moments in Bohr magnetons follow the coordinates.
Atoms (fractional coordinates):
1 Cd 0.0091 0.0091 0.9909  -0.03
2 Mg 0.3237 0.3237 0.6763  -0.03
3 Mn 0.6672 0.6672 0.3328  3.48

Summary:
size of the total moment = 3.5 Bohr magnetons per cell
ΔH_f (0 K) = 0.171 eV per atom
symmetry = I4mm
total DFT energy (no corrections) = -11.2 eV per cell

=====

(3)
Below is a geometry-optimized MgMn2Cd structure, with properties calculated at the PBE level.

Lattice parameters (Å, degrees): 9.5250 9.5250 9.5250 17.89 17.89 17.89
Site moments in Bohr magnetons follow the coordinates.
Atoms (fractional coordinates):
1 Mn 0.4988 0.4988 0.4988  3.57
2 Mn 0.0012 0.0012 0.0012  3.57
3 Mg 0.7500 0.7500 0.7500  -0.03
4 Cd 0.2500 0.2500 0.2500  -0.04

Summary:
size of the total moment = 7.2 Bohr magnetons per cell
ΔH_f (0 K) = 0.349 eV per atom
symmetry = R-3m
total DFT energy (no corrections) = -19.5 eV per cell

=====

(4)
Below is a geometry-optimized MgMn2Cd structure, with properties calculated at the PBE level.

Lattice parameters (Å, degrees): 5.5111 5.5111 5.5111 147.00 129.65 61.53
Site moments in Bohr magnetons follow the coordinates.
Atoms (fractional coordinates):
1 Mg 0.2449 0.7449 0.5000  -0.04
2 Cd 0.5072 0.5072 0.0000  -0.05
3 Mn 0.7598 0.2598 0.5000  3.45
4 Mn 0.9882 0.9882 0.0000  3.44

Summary:
size of the total moment = 6.9 Bohr magnetons per cell
ΔH_f (0 K) = 0.304 eV per atom
symmetry = Imm2
total DFT energy (no corrections) = -19.6 eV per cell

=====

(5)
Below is a geometry-optimized MgMn2Cd structure, with properties calculated at the PBE level.

Lattice parameters (Å, degrees): 4.0932 4.0871 4.0349 90.00 90.00 90.00
Site moments in Bohr magnetons follow the coordinates.
Atoms (fractional coordinates):
1 Mg 0.0000 0.5000 0.5000  -0.04
2 Cd 0.5000 0.0000 0.5000  -0.08
3 Mn 0.0000 0.0000 0.0000  3.33
4 Mn 0.5000 0.5000 0.0000  3.33

Summary:
size of the total moment = 6.6 Bohr magnetons per cell
ΔH_f (0 K) = 0.274 eV per atom
symmetry = P4/mmm
total DFT energy (no corrections) = -19.8 eV per cell

=====

(6)
Below is a geometry-optimized Mg2MnCd structure, with properties calculated at the PBE level.

Lattice parameters (Å, degrees): 5.1209 5.1209 5.1209 130.02 130.02 73.37
Site moments in Bohr magnetons follow the coordinates.
Atoms (fractional coordinates):
1 Mg 0.2500 0.7500 0.5000  -0.03
2 Mg 0.0000 0.0000 0.0000  -0.03
3 Mn 0.5000 0.5000 0.0000  3.62
4 Cd 0.7500 0.2500 0.5000  -0.04

Summary:
size of the total moment = 3.6 Bohr magnetons per cell
ΔH_f (0 K) = 0.126 eV per atom
symmetry = I-4m2
total DFT energy (no corrections) = -12.8 eV per cell

=====

(7)
Below is a geometry-optimized Mg2MnCd structure, with properties calculated at the PBE level.

Lattice parameters (Å, degrees): 5.5831 5.5831 5.5831 144.18 129.27 63.65
Site moments in Bohr magnetons follow the coordinates.
Atoms (fractional coordinates):
1 Mg 0.5075 0.5075 0.0000  -0.02
2 Mg 0.9925 0.9925 0.0000  -0.02
3 Mn 0.7500 0.2500 0.5000  3.60
4 Cd 0.2500 0.7500 0.5000  -0.05

Summary:
size of the total moment = 3.6 Bohr magnetons per cell
ΔH_f (0 K) = 0.168 eV per atom
symmetry = Immm
total DFT energy (no corrections) = -12.6 eV per cell